(1)
AcMg2Hg8: optimized geometry, PBE-GGA.

Results
For the final energy, the calculation gives -0.0398 Ha/atom. The formation energy comes out at -200 meV per atom. The crystal system is monoclinic. The symmetry is C2/m (12). Its density of states at the Fermi level is 0.3652 states/eV per atom.

Cell and atoms, written as POSCAR:
```
AcMg2Hg8
1.0
-2.207 -5.018 -0.845
5.891 -2.471 -0.711
-2.331 0.434 8.230
Hg Mg Ac
8 2 1
Direct
0.872 0.786 0.571
0.013 0.595 0.190
0.471 0.155 0.807
0.529 0.845 0.193
0.471 0.651 0.807
0.128 0.214 0.429
0.529 0.349 0.193
0.987 0.405 0.810
0.357 0.745 0.490
0.643 0.255 0.510
0.000 0.000 0.000
```

***

(2)
Ac4Mg3Hg: optimized geometry, PBE-GGA.

Results
For the final energy, the calculation gives -0.1052 Ha/atom. The formation energy comes out at -172 meV per atom. The crystal system is tetragonal. The symmetry is P4/mmm (123). Its density of states at the Fermi level is 1.4081 states/eV per atom.

Cell and atoms, written as POSCAR:
```
Ac4Mg3Hg
1.0
-0.905 -3.958 -0.572
3.130 -0.335 -2.628
9.947 -4.063 12.366
Ac Mg Hg
4 3 1
Direct
0.000 0.000 0.373
0.000 0.000 0.878
0.000 0.000 0.122
0.000 0.000 0.627
0.500 0.500 0.251
0.500 0.500 0.500
0.500 0.500 0.749
0.500 0.500 0.000
```

***

(3)
AcMg2Hg3: optimized geometry, PBE-GGA.

Results
For the final energy, the calculation gives -0.0619 Ha/atom. The formation energy comes out at -318 meV per atom. The crystal system is orthorhombic. The symmetry is Cmcm (63). Its density of states at the Fermi level is 0.5763 states/eV per atom.

Cell and atoms, written as POSCAR:
```
AcMg2Hg3
1.0
-5.401 -1.310 -3.022
3.697 -2.175 -5.665
-0.577 -6.063 3.660
Hg Ac Mg
6 2 4
Direct
0.250 0.854 0.546
0.750 0.454 0.146
0.750 0.034 0.034
0.250 0.546 0.854
0.250 0.966 0.966
0.750 0.146 0.454
0.250 0.333 0.333
0.750 0.667 0.667
0.000 0.214 0.786
0.000 0.786 0.214
0.500 0.214 0.786
0.500 0.786 0.214
```

***

(4)
AcMg2Hg8: optimized geometry, PBE-GGA.

Results
For the final energy, the calculation gives -0.0364 Ha/atom. The formation energy comes out at -107 meV per atom. The crystal system is tetragonal. The symmetry is P4/mmm (123). Its density of states at the Fermi level is 0.5225 states/eV per atom.

Cell and atoms, written as POSCAR:
```
AcMg2Hg8
1.0
7.144 0.000 0.000
0.000 7.144 0.000
0.000 0.000 6.308
Ac Hg Mg
1 8 2
Direct
0.500 0.500 0.500
0.788 0.788 0.251
0.212 0.788 0.749
0.788 0.212 0.749
0.212 0.788 0.251
0.788 0.212 0.251
0.788 0.788 0.749
0.212 0.212 0.749
0.212 0.212 0.251
0.500 0.000 0.000
0.000 0.500 0.000
```

***

(5)
AcMg2Hg4: optimized geometry, PBE-GGA.

Results
For the final energy, the calculation gives -0.0545 Ha/atom. The formation energy comes out at -269 meV per atom. The crystal system is tetragonal. The symmetry is I4_1/amd (141). Its density of states at the Fermi level is 0.4115 states/eV per atom.

Cell and atoms, written as POSCAR:
```
AcMg2Hg4
1.0
6.314 0.000 -2.322
-0.854 6.256 -2.322
-0.104 -0.119 9.463
Hg Ac Mg
8 2 4
Direct
0.238 0.948 0.896
0.052 0.762 0.104
0.658 0.948 0.896
0.698 0.488 0.396
0.512 0.302 0.604
0.698 0.908 0.396
0.092 0.302 0.604
0.052 0.342 0.104
0.250 0.750 0.500
0.500 0.500 0.000
0.875 0.625 0.750
0.875 0.125 0.250
0.875 0.125 0.750
0.375 0.125 0.250
```

***

(6)
AcMg4Hg2: optimized geometry, PBE-GGA.

Results
For the final energy, the calculation gives -0.0690 Ha/atom. The formation energy comes out at -293 meV per atom. The crystal system is tetragonal. The symmetry is P4_2/mnm (136). Its density of states at the Fermi level is 0.5784 states/eV per atom.

Cell and atoms, written as POSCAR:
```
AcMg4Hg2
1.0
4.718 0.000 0.000
0.000 8.667 0.000
0.000 0.000 8.667
Mg Ac Hg
8 2 4
Direct
0.500 0.410 0.842
0.000 0.342 0.090
0.000 0.658 0.910
0.500 0.842 0.410
0.000 0.090 0.342
0.500 0.158 0.590
0.000 0.910 0.658
0.500 0.590 0.158
0.500 0.000 0.000
0.000 0.500 0.500
0.500 0.716 0.716
0.500 0.284 0.284
0.000 0.216 0.784
0.000 0.784 0.216
```

***

(7)
Ac6MgHg: optimized geometry, PBE-GGA.

Results
For the final energy, the calculation gives -0.1266 Ha/atom. The formation energy comes out at -128 meV per atom. The crystal system is tetragonal. The symmetry is I4/mmm (139). Its density of states at the Fermi level is 1.1597 states/eV per atom.

Cell and atoms, written as POSCAR:
```
Ac6MgHg
1.0
5.461 0.000 1.644
-0.496 5.438 1.645
-0.198 -0.218 10.547
Ac Hg Mg
6 1 1
Direct
0.893 0.393 0.214
0.607 0.107 0.786
0.393 0.893 0.214
0.249 0.249 0.502
0.107 0.607 0.786
0.751 0.751 0.498
0.500 0.500 0.000
0.000 0.000 0.000
```

***

(8)
Ac4Mg3Hg2: optimized geometry, PBE-GGA.

Results
For the final energy, the calculation gives -0.0969 Ha/atom. The formation energy comes out at -213 meV per atom. The crystal system is trigonal. The symmetry is P-3m1 (164). Its density of states at the Fermi level is 1.1268 states/eV per atom.

Cell and atoms, written as POSCAR:
```
Ac4Mg3Hg2
1.0
5.637 0.001 0.001
2.818 4.881 0.179
-0.002 -0.396 10.820
Mg Hg Ac
3 2 4
Direct
0.333 0.333 0.508
0.667 0.667 0.492
0.000 0.000 0.000
0.334 0.333 0.806
0.666 0.667 0.194
0.667 0.666 0.880
0.000 0.000 0.330
0.000 0.000 0.670
0.333 0.334 0.120
```

***

(9)
AcMg11Hg: optimized geometry, PBE-GGA.

Results
For the final energy, the calculation gives -0.0662 Ha/atom. The formation energy comes out at -112 meV per atom. The crystal system is monoclinic. The symmetry is C2/m (12). Its density of states at the Fermi level is 0.4496 states/eV per atom.

Cell and atoms, written as POSCAR:
```
AcMg11Hg
1.0
5.535 -0.017 2.306
2.689 7.264 1.120
-0.032 -0.009 7.874
Mg Ac Hg
11 1 1
Direct
0.500 0.000 0.500
0.501 0.220 0.785
0.999 0.356 0.649
0.000 0.500 0.000
0.714 0.780 0.785
0.286 0.220 0.215
0.352 0.644 0.649
0.001 0.644 0.351
0.499 0.780 0.215
0.648 0.356 0.351
0.000 0.000 0.500
0.000 0.000 0.000
0.500 0.500 0.000
```

***

(10)
AcMg6Hg12: optimized geometry, PBE-GGA.

Results
For the final energy, the calculation gives -0.0404 Ha/atom. The formation energy comes out at -189 meV per atom. The crystal system is trigonal. The symmetry is R-3 (148). Its density of states at the Fermi level is 0.4544 states/eV per atom.

Cell and atoms, written as POSCAR:
```
AcMg6Hg12
1.0
7.631 0.000 2.446
-3.782 7.023 3.046
0.068 0.000 8.538
Hg Mg Ac
12 6 1
Direct
0.254 0.463 0.624
0.491 0.141 0.716
0.794 0.284 0.856
0.791 0.913 0.463
0.350 0.144 0.141
0.878 0.624 0.913
0.650 0.856 0.859
0.509 0.859 0.284
0.746 0.537 0.376
0.206 0.716 0.144
0.209 0.087 0.537
0.122 0.376 0.087
0.954 0.273 0.502
0.318 0.775 0.727
0.046 0.727 0.498
0.682 0.225 0.273
0.457 0.502 0.225
0.543 0.498 0.775
0.000 0.000 0.000
```

***

(11)
AcMg3Hg2: optimized geometry, PBE-GGA.

Results
For the final energy, the calculation gives -0.0698 Ha/atom. The formation energy comes out at -316 meV per atom. The crystal system is hexagonal. The symmetry is P6/mmm (191). Its density of states at the Fermi level is 0.6387 states/eV per atom.

Cell and atoms, written as POSCAR:
```
AcMg3Hg2
1.0
4.774 0.000 0.000
0.000 9.215 -5.320
0.000 0.000 10.641
Mg Hg Ac
9 6 3
Direct
0.000 0.707 0.707
0.000 0.000 0.707
0.000 0.293 0.000
0.000 0.293 0.293
0.500 0.500 0.500
0.500 0.000 0.500
0.000 0.000 0.293
0.500 0.500 0.000
0.000 0.707 0.000
0.500 0.386 0.193
0.500 0.193 0.807
0.500 0.193 0.386
0.500 0.807 0.193
0.500 0.614 0.807
0.500 0.807 0.614
0.000 0.667 0.333
0.000 0.333 0.667
0.500 0.000 0.000
```

***

(12)
Ac2Mg3Hg4: optimized geometry, PBE-GGA.

Results
For the final energy, the calculation gives -0.0713 Ha/atom. The formation energy comes out at -361 meV per atom. The crystal system is orthorhombic. The symmetry is Cmce (64). Its density of states at the Fermi level is 0.7047 states/eV per atom.

Cell and atoms, written as POSCAR:
```
Ac2Mg3Hg4
1.0
-2.327 -5.730 2.687
6.489 -4.181 -3.295
5.729 4.346 5.768
Mg Hg Ac
6 8 4
Direct
0.000 0.000 0.000
0.500 0.500 0.000
0.530 0.750 0.560
0.030 0.750 0.560
0.470 0.250 0.440
0.970 0.250 0.440
0.300 0.250 0.100
0.700 0.750 0.900
0.800 0.250 0.100
0.200 0.750 0.900
0.679 0.531 0.358
0.321 0.469 0.642
0.179 0.969 0.358
0.821 0.031 0.642
0.888 0.414 0.775
0.112 0.586 0.225
0.612 0.914 0.225
0.388 0.086 0.775
```